## La2ScPd (GGA-PBE)

Data for crystalline La2ScPd at its relaxed geometry.

It has space group Fm-3m (No. 225), with a = 7.586 Å, b = 7.586 Å, c = 7.586 Å, α = 90.00°, β = 90.00° and γ = 90.00°. The asymmetric unit holds La at (0.250, 0.250, 0.250), Sc at (0.000, 0.000, 0.000) and Pd at (0.000, 0.000, 0.500).

The calculation puts the formation energy from the elements at -0.482 eV/f.u. The calculation puts the polymorph energy (0 for the lowest one) at 195 meV/atom. The total energy comes out at -5.465 eV/atom.



## LaScPdSe3 (GGA-PBE)

Data for crystalline LaScPdSe3 at its relaxed geometry.

It has space group P2_1/m (No. 11), with a = 7.562 Å, b = 3.978 Å, c = 9.411 Å, α = 90.00°, β = 104.66° and γ = 90.00°. The asymmetric unit holds La at (0.222, 0.250, 0.288), Sc at (0.311, 0.750, 0.827), Pd at (0.100, 0.250, 0.599), Se at (0.075, 0.250, 0.863), Se at (0.299, 0.750, 0.539) and Se at (0.425, 0.750, 0.136).

The value obtained for the uncorrected formation energy is -1.5703 eV per atom. The total energy comes out at -6.055 eV/atom.



## La2ScPdSe5 (GGA-PBE)

Data for crystalline La2ScPdSe5 at its relaxed geometry.

It has space group Cmc2_1 (No. 36), with a = 4.018 Å, b = 17.677 Å, c = 12.297 Å, α = 90.00°, β = 90.00° and γ = 90.00°. The asymmetric unit holds La at (0.000, 0.119, 0.000), La at (0.000, 0.122, 0.625), Sc at (0.000, 0.187, 0.320), Pd at (0.000, 0.432, 0.750), Se at (0.000, 0.038, 0.364), Se at (0.000, 0.295, 0.974), Se at (0.000, 0.301, 0.661), Se at (0.000, 0.346, 0.313) and Se at (0.000, 0.499, 0.070).

The value obtained for the uncorrected formation energy is -1.6127 eV per atom. The total energy comes out at -5.924 eV/atom.



## La2ScSiPd (GGA-PBE)

Data for crystalline La2ScSiPd at its relaxed geometry.

It has space group P4/mmm (No. 123), with a = 5.744 Å, b = 5.744 Å, c = 4.506 Å, α = 90.00°, β = 90.00° and γ = 90.00°. The asymmetric unit holds La at (0.000, 0.500, 0.000), Sc at (0.000, 0.000, 0.500), Si at (0.500, 0.500, 0.000) and Pd at (0.500, 0.500, 0.500).

The value obtained for the uncorrected formation energy is -0.0513 eV per atom. The total energy comes out at -5.412 eV/atom.



## La2ScSiPd6 (GGA-PBE)

Data for crystalline La2ScSiPd6 at its relaxed geometry.

It has space group P-1 (No. 2), with a = 5.164 Å, b = 6.682 Å, c = 7.029 Å, α = 110.68°, β = 104.44° and γ = 105.72°. The asymmetric unit holds La at (0.176, 0.172, 0.325), Sc at (0.000, 0.500, 0.000), Si at (0.500, 0.000, 0.000), Pd at (0.246, 0.594, 0.724), Pd at (0.251, 0.804, 0.436) and Pd at (0.368, 0.250, 0.841).

The value obtained for the uncorrected formation energy is -0.7161 eV per atom. The total energy comes out at -5.993 eV/atom.



## La2ScTaPd (GGA-PBE)

Data for crystalline La2ScTaPd at its relaxed geometry.

It has space group P4/mmm (No. 123), with a = 5.640 Å, b = 5.640 Å, c = 4.886 Å, α = 90.00°, β = 90.00° and γ = 90.00°. The asymmetric unit holds La at (0.000, 0.500, 0.000), Sc at (0.000, 0.000, 0.500), Ta at (0.500, 0.500, 0.000) and Pd at (0.500, 0.500, 0.500).

The calculation puts the formation energy from the elements at 2.975 eV/f.u. The total energy comes out at -6.051 eV/atom.



| no. | density (g/cm³) |
| --- | --- |
| 1 | 6.529 |
| 2 | 6.391 |
| 3 | 6.266 |
| 4 | 5.106 |
| 5 | 8.143 |
| 6 | 6.518 |